No. 1
This record from Alexandria via LeMat-Bulk describes an optimized crystal structure of CaTi2CoRe. The functional is PBE-GGA.

The calculation puts the spin magnetization at 0.81 μB/f.u. The calculation puts the density of states at the Fermi level at 6.19 states/eV per cell. The calculated formation energy comes out at 2.75 eV/f.u.

It has space group P4/mmm (No. 123), with a = 4.7570 Å, b = 4.7570 Å, c = 4.7221 Å, α = 90.00°, β = 90.00° and γ = 90.00°. Symmetry generates all atoms from Ca at (0.0000, 0.0000, 0.0000), Ti at (0.0000, 0.5000, 0.5000), Co at (0.5000, 0.5000, 0.0000) and Re at (0.5000, 0.5000, 0.5000).

---

No. 2
This record from Alexandria via LeMat-Bulk describes an optimized crystal structure of PmHF3. The functional is PBE-GGA.

The calculation puts the spin magnetization at 1.00 μB/f.u. For the calculated total energy, the calculation gives -0.1934 hartree per atom. The calculation puts the density of states at the Fermi level at 0.00 states/eV per cell.

It has space group Fmmm (No. 69), with a = 6.5788 Å, b = 8.2115 Å, c = 12.6849 Å, α = 90.00°, β = 90.00° and γ = 90.00°. Symmetry generates all atoms from Pm at (0.2500, 0.2500, 0.2500), H at (0.2362, 0.0000, 0.0000), F at (0.0000, 0.0000, 0.2212) and F at (0.0000, 0.2116, 0.3696).

---

No. 3
This record from Alexandria via LeMat-Bulk describes an optimized crystal structure of Cr4OsW. The functional is PBE-GGA.

The calculation puts the spin magnetization at 0.00 μB/f.u. The calculation puts the density of states at the Fermi level at 26.52 states/eV per cell. The calculated formation energy comes out at 0.21 eV/f.u.

It has space group F-43m (No. 216), with a = 6.7395 Å, b = 6.7395 Å, c = 6.7395 Å, α = 90.00°, β = 90.00° and γ = 90.00°. Symmetry generates all atoms from Cr at (0.1236, 0.1236, 0.3764), Os at (0.0000, 0.0000, 0.0000) and W at (0.2500, 0.2500, 0.7500).

---

No. 4
This record from Alexandria via LeMat-Bulk describes an optimized crystal structure of SmCo2Ge4. The functional is PBE-GGA.

The calculation puts the spin magnetization at 0.00 μB/f.u. The calculation puts the density of states at the Fermi level at 12.35 states/eV per cell. The calculated formation energy comes out at -2.99 eV/f.u.

It has space group Pnma (No. 62), with a = 17.1440 Å, b = 4.0839 Å, c = 6.4886 Å, α = 90.00°, β = 90.00° and γ = 90.00°. Symmetry generates all atoms from Sm at (0.1405, 0.2500, 0.0147), Co at (0.0336, 0.7500, 0.7462), Co at (0.2097, 0.2500, 0.4967), Ge at (0.0275, 0.7500, 0.1389), Ge at (0.0673, 0.2500, 0.5201), Ge at (0.1796, 0.7500, 0.6996) and Ge at (0.2000, 0.7500, 0.2935).

---

No. 5
This record from Alexandria via LeMat-Bulk describes an optimized crystal structure of Ba3SrP3. The functional is PBE-GGA.

The calculation puts the spin magnetization at 0.00 μB/f.u. The calculation puts the density of states at the Fermi level at 37.95 states/eV per cell. The calculated formation energy comes out at -6.62 eV/f.u.

It has space group P2_13 (No. 198), with a = 9.7156 Å, b = 9.7156 Å, c = 9.7156 Å, α = 90.00°, β = 90.00° and γ = 90.00°. Symmetry generates all atoms from Ba at (0.0672, 0.4328, 0.5672), Ba at (0.1821, 0.1821, 0.1821), Ba at (0.1830, 0.8170, 0.3170), Sr at (0.0649, 0.5649, 0.9351) and P at (0.9998, 0.2558, 0.8700).

---

No. 6
This record from Alexandria via LeMat-Bulk describes an optimized crystal structure of ZnFe2Co. The functional is PBE-GGA.

The calculation puts the spin magnetization at 6.31 μB/f.u. The calculation puts the density of states at the Fermi level at 14.18 states/eV per cell. The calculated formation energy comes out at 0.34 eV/f.u.

It has space group R3m (No. 160, hexagonal axes), with a = 2.5963 Å, b = 2.5963 Å, c = 24.8359 Å, α = 90.00°, β = 90.00° and γ = 120.00°. Symmetry generates all atoms from Zn at (0.0000, 0.0000, 0.0000), Fe at (0.0000, 0.0000, 0.1626), Fe at (0.0000, 0.0000, 0.5791) and Co at (0.0000, 0.0000, 0.7519).

---

No. 7
This record from Alexandria via LeMat-Bulk describes an optimized crystal structure of CuSi2N2. The functional is PBE-GGA.

The calculation puts the spin magnetization at 0.00 μB/f.u. The calculation puts the density of states at the Fermi level at 4.84 states/eV per cell. The formation energy (no corrections) comes out at 2.30 eV per formula unit. The value obtained for the energy relative to the lowest polymorph listed for this composition is 1.21 eV/f.u.

It has space group P4/mbm (No. 127), with a = 6.8572 Å, b = 6.8572 Å, c = 3.0527 Å, α = 90.00°, β = 90.00° and γ = 90.00°. Symmetry generates all atoms from Cu at (0.0000, 0.0000, 0.0000), Si at (0.2149, 0.2851, 0.0000) and N at (0.1429, 0.3571, 0.5000).

---

No. 8
This record from Alexandria via LeMat-Bulk describes an optimized crystal structure of PmDyIrRh. The functional is PBE-GGA.

The calculation puts the spin magnetization at 0.00 μB/f.u. The calculation puts the density of states at the Fermi level at 5.95 states/eV per cell. The calculated formation energy comes out at -3.05 eV/f.u.

It has space group F-43m (No. 216), with a = 6.9461 Å, b = 6.9461 Å, c = 6.9461 Å, α = 90.00°, β = 90.00° and γ = 90.00°. Symmetry generates all atoms from Pm at (0.0000, 0.0000, 0.0000), Dy at (0.0000, 0.0000, 0.5000), Ir at (0.2500, 0.2500, 0.2500) and Rh at (0.2500, 0.2500, 0.7500).

---

No. 9
This record from Alexandria via LeMat-Bulk describes an optimized crystal structure of Li4TbTm3S8. The functional is PBE-GGA.

The calculation puts the spin magnetization at 0.00 μB/f.u. The calculation puts the density of states at the Fermi level at 0.00 states/eV per cell. The formation energy (no corrections) comes out at -29.71 eV per formula unit.

It has space group R-3m (No. 166, hexagonal axes), with a = 7.7538 Å, b = 7.7538 Å, c = 18.4968 Å, α = 90.00°, β = 90.00° and γ = 120.00°. Symmetry generates all atoms from Li at (0.0000, 0.0000, 0.0000), Li at (0.0000, 0.5000, 0.0000), Tb at (0.0000, 0.0000, 0.5000), Tm at (0.0000, 0.5000, 0.5000), S at (0.0000, 0.0000, 0.2491) and S at (0.0039, 0.5020, 0.7503).

---

No. 10
This record from Alexandria via LeMat-Bulk describes an optimized crystal structure of Sm4S3O. The functional is PBE-GGA.

The calculation puts the spin magnetization at 0.00 μB/f.u. The calculation puts the density of states at the Fermi level at 4.75 states/eV per cell. The formation energy (no corrections) comes out at -16.42 eV per formula unit.

It has space group Pm-3m (No. 221), with a = 5.5367 Å, b = 5.5367 Å, c = 5.5367 Å, α = 90.00°, β = 90.00° and γ = 90.00°. Symmetry generates all atoms from Sm at (0.0000, 0.0000, 0.0000), Sm at (0.0000, 0.5000, 0.5000), S at (0.0000, 0.0000, 0.5000) and O at (0.5000, 0.5000, 0.5000).

---

No. 11
This record from Alexandria via LeMat-Bulk describes an optimized crystal structure of CaFeAg2Cl. The functional is PBE-GGA.

The calculation puts the spin magnetization at 2.99 μB/f.u. The calculation puts the density of states at the Fermi level at 7.82 states/eV per cell. The formation energy (no corrections) comes out at 2.79 eV per formula unit.

It has space group P4/mmm (No. 123), with a = 5.0819 Å, b = 5.0819 Å, c = 5.0323 Å, α = 90.00°, β = 90.00° and γ = 90.00°. Symmetry generates all atoms from Ca at (0.0000, 0.0000, 0.0000), Fe at (0.5000, 0.5000, 0.0000), Ag at (0.0000, 0.5000, 0.5000) and Cl at (0.0000, 0.0000, 0.5000).

---

No. 12
This record from Alexandria via LeMat-Bulk describes an optimized crystal structure of CsNpSiS4. The functional is PBE-GGA.

The calculation puts the spin magnetization at 4.00 μB/f.u. The calculation puts the density of states at the Fermi level at 14.40 states/eV per cell. The formation energy (no corrections) comes out at -8.03 eV per formula unit.

It has space group P2_1/m (No. 11), with a = 6.5203 Å, b = 6.6956 Å, c = 9.5055 Å, α = 90.00°, β = 108.10° and γ = 90.00°. Symmetry generates all atoms from Cs at (0.2305, 0.2500, 0.4360), Np at (0.2694, 0.2500, 0.9515), Si at (0.2863, 0.7500, 0.1625), S at (0.0875, 0.7500, 0.9381), S at (0.0941, 0.7500, 0.3062) and S at (0.4980, 0.0001, 0.8025).

---

No. 13
This record from Alexandria via LeMat-Bulk describes an optimized crystal structure of BaAg2W. The functional is PBE-GGA.

The calculation puts the spin magnetization at 0.00 μB/f.u. The calculation puts the density of states at the Fermi level at 10.31 states/eV per cell. The calculated formation energy comes out at 3.71 eV/f.u. The value obtained for the energy relative to the lowest polymorph listed for this composition is 0.74 eV/f.u.

It has space group R-3m (No. 166, hexagonal axes), with a = 3.0594 Å, b = 3.0594 Å, c = 31.9605 Å, α = 90.00°, β = 90.00° and γ = 120.00°. Symmetry generates all atoms from Ba at (0.0000, 0.0000, 0.0000), Ag at (0.0000, 0.0000, 0.2386) and W at (0.0000, 0.0000, 0.5000).

---

No. 14
This record from Alexandria via LeMat-Bulk describes an optimized crystal structure of Pu2NbTl. The functional is PBE-GGA.

The calculation puts the spin magnetization at 11.32 μB/f.u. The calculation puts the density of states at the Fermi level at 41.39 states/eV per cell. The calculated formation energy comes out at 1.02 eV/f.u. The value obtained for the energy relative to the lowest polymorph listed for this composition is 0.00 eV/f.u.

It has space group R-3m (No. 166, hexagonal axes), with a = 3.2475 Å, b = 3.2475 Å, c = 32.2473 Å, α = 90.00°, β = 90.00° and γ = 120.00°. Symmetry generates all atoms from Pu at (0.0000, 0.0000, 0.2431), Nb at (0.0000, 0.0000, 0.5000) and Tl at (0.0000, 0.0000, 0.0000).

---

No. 15
This record from Alexandria via LeMat-Bulk describes an optimized crystal structure of KCdBiCl6. The functional is PBE-GGA.

The calculation puts the spin magnetization at 0.00 μB/f.u. The calculation puts the density of states at the Fermi level at 0.00 states/eV per cell. The formation energy (no corrections) comes out at -11.46 eV per formula unit.

It has space group P-31c (No. 163), with a = 7.0376 Å, b = 7.0376 Å, c = 13.8027 Å, α = 90.00°, β = 90.00° and γ = 120.00°. Symmetry generates all atoms from K at (0.0000, 0.0000, 0.0000), Cd at (0.3333, 0.6667, 0.2500), Bi at (0.3333, 0.6667, 0.7500) and Cl at (0.0074, 0.3727, 0.1387).

---

No. 16
This record from Alexandria via LeMat-Bulk describes an optimized crystal structure of TbHoPuTl. The functional is PBE-GGA.

The calculation puts the spin magnetization at 6.70 μB/f.u. The calculation puts the density of states at the Fermi level at 59.95 states/eV per cell. The calculated formation energy comes out at 0.18 eV/f.u.

It has space group F-43m (No. 216), with a = 7.6549 Å, b = 7.6549 Å, c = 7.6549 Å, α = 90.00°, β = 90.00° and γ = 90.00°. Symmetry generates all atoms from Tb at (0.0000, 0.0000, 0.0000), Ho at (0.0000, 0.0000, 0.5000), Pu at (0.2500, 0.2500, 0.7500) and Tl at (0.2500, 0.2500, 0.2500).

---

No. 17
This record from Alexandria via LeMat-Bulk describes an optimized crystal structure of KP2Pt5. The functional is PBE-GGA.

The calculation puts the spin magnetization at 0.00 μB/f.u. The calculation puts the density of states at the Fermi level at 10.00 states/eV per cell. The calculated formation energy comes out at -3.08 eV/f.u.

It has space group Immm (No. 71), with a = 4.1221 Å, b = 6.9877 Å, c = 9.6337 Å, α = 90.00°, β = 90.00° and γ = 90.00°. Symmetry generates all atoms from K at (0.0000, 0.0000, 0.0000), P at (0.0000, 0.5000, 0.2432), Pt at (0.0000, 0.1991, 0.3443) and Pt at (0.0000, 0.5000, 0.0000).

---

No. 18
This record from Alexandria via LeMat-Bulk describes an optimized crystal structure of Th4NiRuS2. The functional is PBE-GGA.

The calculation puts the spin magnetization at 0.00 μB/f.u. The calculation puts the density of states at the Fermi level at 7.92 states/eV per cell. The formation energy (no corrections) comes out at -8.53 eV per formula unit.

It has space group P2/m (No. 10), with a = 6.9297 Å, b = 4.0503 Å, c = 7.4313 Å, α = 90.00°, β = 107.91° and γ = 90.00°. Symmetry generates all atoms from Th at (0.2452, 0.0000, 0.2300), Th at (0.2527, 0.5000, 0.7702), Ni at (0.5000, 0.0000, 0.0000), Ru at (0.0000, 0.5000, 0.0000), S at (0.0000, 0.0000, 0.5000) and S at (0.5000, 0.5000, 0.5000).

---

No. 19
This record from Alexandria via LeMat-Bulk describes an optimized crystal structure of FeRh2Br. The functional is PBE-GGA.

The calculation puts the spin magnetization at 4.24 μB/f.u. The calculation puts the density of states at the Fermi level at 11.79 states/eV per cell. The formation energy (no corrections) comes out at 2.50 eV per formula unit. The value obtained for the energy relative to the lowest polymorph listed for this composition is 1.32 eV/f.u.

It has space group I4/mmm (No. 139), with a = 4.0670 Å, b = 4.0670 Å, c = 7.4422 Å, α = 90.00°, β = 90.00° and γ = 90.00°. Symmetry generates all atoms from Fe at (0.0000, 0.0000, 0.0000), Rh at (0.0000, 0.5000, 0.2500) and Br at (0.0000, 0.0000, 0.5000).

---

No. 20
This record from Alexandria via LeMat-Bulk describes an optimized crystal structure of Th2Ni9Hg. The functional is PBE-GGA.

The calculation puts the spin magnetization at 0.00 μB/f.u. The calculation puts the density of states at the Fermi level at 38.74 states/eV per cell. The calculated formation energy comes out at -2.57 eV/f.u.

It has space group R-3m (No. 166, hexagonal axes), with a = 4.9798 Å, b = 4.9798 Å, c = 24.7707 Å, α = 90.00°, β = 90.00° and γ = 120.00°. Symmetry generates all atoms from Th at (0.0000, 0.0000, 0.1326), Ni at (0.0000, 0.0000, 0.3329), Ni at (0.0000, 0.0000, 0.5000), Ni at (0.0013, 0.5007, 0.9180) and Hg at (0.0000, 0.0000, 0.0000).